Record 1
Material: SrCrBi2As
Method: DFT, PBE-GGA
State: relaxed Values from VASP.

Calculated values
The space group is P4/mmm. Its crystal system is tetragonal.

Geometry as Quantum ESPRESSO input:
```
&SYSTEM
  ibrav = 0, nat = 5, ntyp = 4
/
ATOMIC_SPECIES
Sr 87.62 Sr.upf
Bi 208.98 Bi.upf
Cr 52.00 Cr.upf
As 74.92 As.upf
ATOMIC_POSITIONS crystal
Sr 0.0000 0.5000 0.0000
Bi 0.0000 0.0000 0.5000
Bi 0.5000 0.0000 0.0000
Cr 0.5000 0.5000 0.5000
As 0.0000 0.0000 0.0000
CELL_PARAMETERS angstrom
-0.6206 -5.0606 2.2858
5.1776 0.3532 2.1876
-2.1090 2.3425 4.6135
```

=====

Record 2
Material: Cs3BiAs
Method: DFT, PBE-GGA
State: relaxed Values from VASP.

Calculated values
The space group is C2/m. Its crystal system is monoclinic.

Geometry as Quantum ESPRESSO input:
```
&SYSTEM
  ibrav = 0, nat = 10, ntyp = 3
/
ATOMIC_SPECIES
As 74.92 As.upf
Cs 132.91 Cs.upf
Bi 208.98 Bi.upf
ATOMIC_POSITIONS crystal
As 0.9237 0.8475 0.9244
As 0.0763 0.1525 0.0756
Cs 0.6207 0.2414 0.9119
Cs 0.9267 0.8535 0.6219
Cs 0.7127 0.4254 0.2899
Cs 0.0733 0.1465 0.3781
Cs 0.2873 0.5746 0.7101
Cs 0.3793 0.7586 0.0881
Bi 0.6044 0.2088 0.5885
Bi 0.3956 0.7912 0.4115
CELL_PARAMETERS angstrom
6.2805 0.0000 0.0000
-3.1403 6.2751 -1.6063
0.0000 0.0009 12.4938
```

=====

Record 3
Material: Cs3BiAs
Method: DFT, PBE-GGA
State: relaxed Values from VASP.

Calculated values
The space group is Pm-3m. Its crystal system is cubic.

Geometry as Quantum ESPRESSO input:
```
&SYSTEM
  ibrav = 0, nat = 5, ntyp = 3
/
ATOMIC_SPECIES
Bi 208.98 Bi.upf
Cs 132.91 Cs.upf
As 74.92 As.upf
ATOMIC_POSITIONS crystal
Bi 0.0000 0.0000 0.0000
Cs 0.0000 0.5000 0.0000
Cs 0.0000 0.0000 0.5000
Cs 0.5000 0.0000 0.0000
As 0.5000 0.5000 0.5000
CELL_PARAMETERS angstrom
-6.6555 1.8634 2.6697
1.0033 -4.6060 5.7160
3.0972 5.4961 3.8852
```

=====

Looking at E for the records above, in order, we have -18.7, -25.7, -10.0 eV/cell.
Looking at ΔE_f for the records above, in order, we have 5.06, -1.75, 1.08 eV/f.u..